w:
Entry from the Alexandria database: a PBEsol-optimized structure of Ag2MoBr (meta-GGA SCAN).

Calculated values
Its magnetic moment is 0.00 μB per formula unit. The density of states at the Fermi level comes out at 2.4 states/eV/f.u. The volume comes out at 71 Å³/f.u.

Cell lengths 3.131, 4.765, 9.536 Å; angles 90.00, 90.00, 90.00 degrees
Space group Cmmm (No. 65)
Asymmetric unit:
1 Ag 0.000 0.000 0.240 (multiplicity 4)
2 Mo 0.000 0.500 0.000 (multiplicity 2)
3 Br 0.000 0.500 0.500 (multiplicity 2)



x:
Entry from the Alexandria database: a PBEsol-optimized structure of Ag2MoBr (meta-GGA SCAN).

Calculated values
Its magnetic moment is 2.05 μB per formula unit. The density of states at the Fermi level comes out at 2.1 states/eV/f.u. The volume comes out at 70 Å³/f.u.

Cell lengths 2.938, 4.609, 5.163 Å; angles 90.00, 90.00, 90.00 degrees
Space group Pmmm (No. 47)
Asymmetric unit:
1 Ag 0.000 0.000 0.000 (multiplicity 1)
2 Ag 0.500 0.500 0.000 (multiplicity 1)
3 Mo 0.000 0.500 0.500 (multiplicity 1)
4 Br 0.500 0.000 0.500 (multiplicity 1)



Short version: w is the most stable of them.



w:
Entry from the Alexandria database: a PBEsol-optimized structure of AgOsBr2 (meta-GGA SCAN).

Calculated values
Its magnetic moment is 0.00 μB per formula unit. The density of states at the Fermi level comes out at 2.9 states/eV/f.u. The volume comes out at 86 Å³/f.u.

Cell lengths 3.7296, 3.7296, 21.4968 Å; angles 90.00, 90.00, 120.00 degrees
Space group R3m (No. 160, hexagonal axes)
Asymmetric unit:
1 Ag 0.0000 0.0000 0.0000 (multiplicity 3)
2 Os 0.0000 0.0000 0.7456 (multiplicity 3)
3 Br 0.0000 0.0000 0.2595 (multiplicity 3)
4 Br 0.0000 0.0000 0.4599 (multiplicity 3)



x:
Entry from the Alexandria database: a PBEsol-optimized structure of AgOsBr2 (meta-GGA SCAN).

Calculated values
Its magnetic moment is 0.00 μB per formula unit. The density of states at the Fermi level comes out at 2.0 states/eV/f.u. The volume comes out at 71 Å³/f.u.

Cell lengths 6.698, 6.707, 3.160 Å; angles 90.00, 90.00, 90.00 degrees
Space group Cmmm (No. 65)
Asymmetric unit:
1 Ag 0.000 0.000 0.000 (multiplicity 2)
2 Os 0.000 0.500 0.000 (multiplicity 2)
3 Br 0.250 0.250 0.500 (multiplicity 4)



y:
Entry from the Alexandria database: a PBEsol-optimized structure of AgOsBr2 (meta-GGA SCAN).

Calculated values
Its magnetic moment is 0.00 μB per formula unit. The density of states at the Fermi level comes out at 2.5 states/eV/f.u. The volume comes out at 81 Å³/f.u.

Cell lengths 2.984, 4.497, 11.998 Å; angles 90.00, 90.00, 90.00 degrees
Space group Imm2 (No. 44)
Asymmetric unit:
1 Ag 0.000 0.000 0.000 (multiplicity 2)
2 Os 0.000 0.500 0.696 (multiplicity 2)
3 Br 0.000 0.000 0.368 (multiplicity 2)
4 Br 0.000 0.500 0.170 (multiplicity 2)



Short version: w is the most stable of them.



w:
Entry from the Alexandria database: a PBEsol-optimized structure of AgOsBr2 (meta-GGA SCAN).

Calculated values
Its magnetic moment is 0.00 μB per formula unit. The density of states at the Fermi level comes out at 1.8 states/eV/f.u. The volume comes out at 81 Å³/f.u.

Cell lengths 2.997, 5.579, 9.721 Å; angles 90.00, 90.00, 90.00 degrees
Space group Cmmm (No. 65)
Asymmetric unit:
1 Ag 0.000 0.000 0.000 (multiplicity 2)
2 Os 0.000 0.000 0.500 (multiplicity 2)
3 Br 0.000 0.500 0.294 (multiplicity 4)



x:
Entry from the Alexandria database: a PBEsol-optimized structure of AgOsBr2 (meta-GGA SCAN).

Calculated values
Its magnetic moment is 0.00 μB per formula unit. The density of states at the Fermi level comes out at 2.7 states/eV/f.u. The volume comes out at 91 Å³/f.u.

Cell lengths 4.252, 3.161, 7.123 Å; angles 90.00, 107.30, 90.00 degrees
Space group Pm (No. 6)
Asymmetric unit:
1 Ag 0.000 0.000 0.000 (multiplicity 1)
2 Os 0.455 0.500 0.909 (multiplicity 1)
3 Br 0.320 0.000 0.639 (multiplicity 1)
4 Br 0.633 0.500 0.266 (multiplicity 1)



Short version: x is the most stable of them.



w:
Entry from the Alexandria database: a PBEsol-optimized structure of AgPBr2 (meta-GGA SCAN).

Calculated values
Its magnetic moment is 0.00 μB per formula unit. The density of states at the Fermi level comes out at 1.5 states/eV/f.u. The volume comes out at 90 Å³/f.u.

Cell lengths 8.340, 3.434, 6.352 Å; angles 90.00, 97.73, 90.00 degrees
Space group C2/m (No. 12)
Asymmetric unit:
1 Ag 0.000 0.000 0.000 (multiplicity 2)
2 P 0.000 0.500 0.500 (multiplicity 2)
3 Br 0.201 0.500 0.245 (multiplicity 4)



x:
Entry from the Alexandria database: a PBEsol-optimized structure of AgPBr2 (meta-GGA SCAN).

Calculated values
Its magnetic moment is 0.00 μB per formula unit. The density of states at the Fermi level comes out at 1.3 states/eV/f.u. The volume comes out at 90 Å³/f.u.

Cell lengths 3.289, 3.971, 7.051 Å; angles 90.00, 102.20, 90.00 degrees
Space group P2/m (No. 10)
Asymmetric unit:
1 Ag 0.000 0.000 0.000 (multiplicity 1)
2 P 0.500 0.000 0.500 (multiplicity 1)
3 Br 0.369 0.500 0.250 (multiplicity 2)



Short version: w is the most stable of them.



w:
Entry from the Alexandria database: a PBEsol-optimized structure of AgPBr2 (meta-GGA SCAN).

Calculated values
Its magnetic moment is 0.00 μB per formula unit. The density of states at the Fermi level comes out at 3.6 states/eV/f.u. The volume comes out at 81 Å³/f.u.

Cell lengths 6.867, 6.867, 6.867 Å; angles 90.00, 90.00, 90.00 degrees
Space group F-43m (No. 216)
Asymmetric unit:
1 Ag 0.000 0.000 0.000 (multiplicity 4)
2 P 0.250 0.250 0.750 (multiplicity 4)
3 Br 0.000 0.000 0.500 (multiplicity 4)
4 Br 0.250 0.250 0.250 (multiplicity 4)



x:
Entry from the Alexandria database: a PBEsol-optimized structure of AgPBr2 (meta-GGA SCAN).

Calculated values
Its magnetic moment is 0.00 μB per formula unit. The density of states at the Fermi level comes out at 2.7 states/eV/f.u. The volume comes out at 97 Å³/f.u.

Cell lengths 3.747, 3.747, 13.824 Å; angles 90.00, 90.00, 90.00 degrees
Space group I-4m2 (No. 119)
Asymmetric unit:
1 Ag 0.000 0.000 0.000 (multiplicity 2)
2 P 0.000 0.500 0.750 (multiplicity 2)
3 Br 0.000 0.000 0.500 (multiplicity 2)
4 Br 0.000 0.500 0.250 (multiplicity 2)



y:
Entry from the Alexandria database: a PBEsol-optimized structure of AgPBr2 (meta-GGA SCAN).

Calculated values
Its magnetic moment is 0.00 μB per formula unit. The density of states at the Fermi level comes out at 1.9 states/eV/f.u. The volume comes out at 81 Å³/f.u.

Cell lengths 4.923, 4.923, 3.329 Å; angles 90.00, 90.00, 90.00 degrees
Space group P4/mmm (No. 123)
Asymmetric unit:
1 Ag 0.000 0.000 0.000 (multiplicity 1)
2 P 0.500 0.500 0.000 (multiplicity 1)
3 Br 0.000 0.500 0.500 (multiplicity 2)



Short version: x is the most stable of them.



w:
Entry from the Alexandria database: a PBEsol-optimized structure of Ag2PbBr (meta-GGA SCAN).

Calculated values
Its magnetic moment is 0.00 μB per formula unit. The density of states at the Fermi level comes out at 1.0 states/eV/f.u. The volume comes out at 89 Å³/f.u.

Cell lengths 5.122, 3.385, 5.348 Å; angles 90.00, 106.74, 90.00 degrees
Space group P2/m (No. 10)
Asymmetric unit:
1 Ag 0.000 0.000 0.000 (multiplicity 1)
2 Ag 0.500 0.500 0.000 (multiplicity 1)
3 Pb 0.000 0.500 0.500 (multiplicity 1)
4 Br 0.500 0.000 0.500 (multiplicity 1)



x:
Entry from the Alexandria database: a PBEsol-optimized structure of Ag2PbBr (meta-GGA SCAN).

Calculated values
Its magnetic moment is 0.00 μB per formula unit. The density of states at the Fermi level comes out at 1.4 states/eV/f.u. The volume comes out at 87 Å³/f.u.

Cell lengths 3.365, 3.365, 7.720 Å; angles 90.00, 90.00, 90.00 degrees
Space group P4/mmm (No. 123)
Asymmetric unit:
1 Ag 0.000 0.000 0.242 (multiplicity 2)
2 Pb 0.500 0.500 0.500 (multiplicity 1)
3 Br 0.500 0.500 0.000 (multiplicity 1)



Short version: x is the most stable of them.



w:
Entry from the Alexandria database: a PBEsol-optimized structure of Ag2PbBr (meta-GGA SCAN).

Calculated values
Its magnetic moment is 0.00 μB per formula unit. The density of states at the Fermi level comes out at 1.6 states/eV/f.u. The volume comes out at 96 Å³/f.u.

Cell lengths 3.8220, 3.8220, 22.6671 Å; angles 90.00, 90.00, 120.00 degrees
Space group R3m (No. 160, hexagonal axes)
Asymmetric unit:
1 Ag 0.0000 0.0000 0.0000 (multiplicity 3)
2 Ag 0.0000 0.0000 0.2631 (multiplicity 3)
3 Pb 0.0000 0.0000 0.5162 (multiplicity 3)
4 Br 0.0000 0.0000 0.7406 (multiplicity 3)



x:
Entry from the Alexandria database: a PBEsol-optimized structure of Ag2PbBr (meta-GGA SCAN).

Calculated values
Its magnetic moment is 0.00 μB per formula unit. The density of states at the Fermi level comes out at 1.4 states/eV/f.u. The volume comes out at 92 Å³/f.u.

Cell lengths 7.174, 7.174, 7.174 Å; angles 90.00, 90.00, 90.00 degrees
Space group F-43m (No. 216)
Asymmetric unit:
1 Ag 0.000 0.000 0.000 (multiplicity 4)
2 Ag 0.250 0.250 0.250 (multiplicity 4)
3 Pb 0.250 0.250 0.750 (multiplicity 4)
4 Br 0.000 0.000 0.500 (multiplicity 4)



Short version: w is the most stable of them.



w:
Entry from the Alexandria database: a PBEsol-optimized structure of AgPbBr2 (meta-GGA SCAN).

Calculated values
Its magnetic moment is 0.00 μB per formula unit. The density of states at the Fermi level comes out at 1.2 states/eV/f.u. The volume comes out at 99 Å³/f.u.

Cell lengths 7.347, 7.347, 7.347 Å; angles 90.00, 90.00, 90.00 degrees
Space group Fm-3m (No. 225)
Asymmetric unit:
1 Ag 0.000 0.000 0.000 (multiplicity 4)
2 Pb 0.000 0.000 0.500 (multiplicity 4)
3 Br 0.250 0.250 0.250 (multiplicity 8)



x:
Entry from the Alexandria database: a PBEsol-optimized structure of AgPbBr2 (meta-GGA SCAN).

Calculated values
Its magnetic moment is 0.00 μB per formula unit. The density of states at the Fermi level comes out at 2.0 states/eV/f.u. The volume comes out at 104 Å³/f.u.

Cell lengths 3.623, 3.623, 7.954 Å; angles 90.00, 90.00, 90.00 degrees
Space group P4mm (No. 99)
Asymmetric unit:
1 Ag 0.000 0.000 0.000 (multiplicity 1)
2 Pb 0.500 0.500 0.760 (multiplicity 1)
3 Br 0.000 0.000 0.524 (multiplicity 1)
4 Br 0.500 0.500 0.157 (multiplicity 1)



Short version: x is the most stable of them.